Record 1
This record from Alexandria via LeMat-Bulk describes Nd3Zn8Ru after structural relaxation. The functional is GGA-PBE.

Electronic total energy = -109.31 eV per cell
Formation enthalpy at 0 K = -2.67 eV per formula unit
Fermi-level density of states = 22.401 states/eV per cell

Lattice parameters (Å, degrees): 5.3418 5.3418 27.7502 90.00 90.00 120.00
Space group R3m (No. 160, hexagonal axes)
Symmetry-distinct sites (fractional):
1 Nd 0.0000 0.0000 0.0000 (multiplicity 3)
2 Nd 0.0000 0.0000 0.1266 (multiplicity 3)
3 Nd 0.0000 0.0000 0.6094 (multiplicity 3)
4 Zn 0.0000 0.0000 0.3076 (multiplicity 3)
5 Zn 0.0000 0.0000 0.8099 (multiplicity 3)
6 Zn 0.0031 0.5015 0.5541 (multiplicity 9)
7 Zn 0.0049 0.5025 0.0626 (multiplicity 9)
8 Ru 0.0000 0.0000 0.5090 (multiplicity 3)

***

Record 2
This record from Alexandria via LeMat-Bulk describes Nd6Zn5Ru after structural relaxation. The functional is GGA-PBE.

Electronic total energy = -95.63 eV per cell
Formation enthalpy at 0 K = -3.56 eV per formula unit
Fermi-level density of states = 19.573 states/eV per cell

Lattice parameters (Å, degrees): 16.3200 7.3301 5.1829 90.00 108.47 90.00
Space group C2/m (No. 12)
Symmetry-distinct sites (fractional):
1 Nd 0.0000 0.2389 0.0000 (multiplicity 4)
2 Nd 0.1597 0.2425 0.6590 (multiplicity 8)
3 Zn 0.0000 0.5000 0.5000 (multiplicity 2)
4 Zn 0.1686 0.5000 0.1675 (multiplicity 4)
5 Zn 0.1772 0.0000 0.1761 (multiplicity 4)
6 Ru 0.0000 0.0000 0.5000 (multiplicity 2)

***

Record 3
This record from Alexandria via LeMat-Bulk describes NdZnRu after structural relaxation. The functional is GGA-PBE.

Electronic total energy = -31.36 eV per cell
Formation enthalpy at 0 K = -0.36 eV per formula unit
Fermi-level density of states = 4.086 states/eV per cell

Lattice parameters (Å, degrees): 3.4711 3.4711 9.9169 90.00 90.00 90.00
Space group I4mm (No. 107)
Symmetry-distinct sites (fractional):
1 Nd 0.0000 0.0000 0.0000 (multiplicity 2)
2 Zn 0.0000 0.0000 0.2931 (multiplicity 2)
3 Ru 0.0000 0.0000 0.6899 (multiplicity 2)

***

Record 4
This record from Alexandria via LeMat-Bulk describes Nd2Zn7Ru after structural relaxation. The functional is GGA-PBE.

Electronic total energy = -30.21 eV per cell
Formation enthalpy at 0 K = -2.48 eV per formula unit
Fermi-level density of states = 6.074 states/eV per cell

Lattice parameters (Å, degrees): 4.1135 4.1135 11.1259 90.00 90.00 90.00
Space group P-4m2 (No. 115)
Symmetry-distinct sites (fractional):
1 Nd 0.0000 0.5000 0.2404 (multiplicity 2)
2 Zn 0.0000 0.0000 0.0000 (multiplicity 1)
3 Zn 0.0000 0.0000 0.5000 (multiplicity 1)
4 Zn 0.0000 0.5000 0.6389 (multiplicity 2)
5 Zn 0.0000 0.5000 0.8649 (multiplicity 2)
6 Zn 0.5000 0.5000 0.5000 (multiplicity 1)
7 Ru 0.5000 0.5000 0.0000 (multiplicity 1)

***

Record 5
This record from Alexandria via LeMat-Bulk describes NdZnRu after structural relaxation. The functional is GGA-PBE.

Electronic total energy = -15.84 eV per cell
Formation enthalpy at 0 K = -0.52 eV per formula unit
Fermi-level density of states = 2.493 states/eV per cell

Lattice parameters (Å, degrees): 4.3980 4.3980 3.7630 90.00 90.00 120.00
Space group P-6m2 (No. 187)
Symmetry-distinct sites (fractional):
1 Nd 0.0000 0.0000 0.0000 (multiplicity 1)
2 Zn 0.3333 0.6667 0.5000 (multiplicity 1)
3 Ru 0.6667 0.3333 0.5000 (multiplicity 1)

***

Record 6
This record from Alexandria via LeMat-Bulk describes Nd8Zn2Ru after structural relaxation. The functional is GGA-PBE.

Electronic total energy = -102.82 eV per cell
Formation enthalpy at 0 K = -1.44 eV per formula unit
Excess energy over the best structure of this formula in the dataset = 0.0 meV/atom
Fermi-level density of states = 22.273 states/eV per cell

Lattice parameters (Å, degrees): 18.0318 5.2325 6.9422 90.00 102.21 90.00
Space group C2/m (No. 12)
Symmetry-distinct sites (fractional):
1 Nd 0.0276 0.0000 0.2856 (multiplicity 4)
2 Nd 0.0895 0.5000 0.9352 (multiplicity 4)
3 Nd 0.1567 0.5000 0.4585 (multiplicity 4)
4 Nd 0.2001 0.0000 0.8129 (multiplicity 4)
5 Zn 0.1928 0.0000 0.2352 (multiplicity 4)
6 Ru 0.0000 0.5000 0.5000 (multiplicity 2)

***

Record 7
This record from Alexandria via LeMat-Bulk describes Nd5Zn5Ru2 after structural relaxation. The functional is GGA-PBE.

Electronic total energy = -103.90 eV per cell
Formation enthalpy at 0 K = -3.19 eV per formula unit
Fermi-level density of states = 18.213 states/eV per cell

Lattice parameters (Å, degrees): 15.5570 4.3701 11.4269 90.00 132.57 90.00
Space group C2/m (No. 12)
Symmetry-distinct sites (fractional):
1 Nd 0.0000 0.0000 0.0000 (multiplicity 2)
2 Nd 0.1200 0.5000 0.8184 (multiplicity 4)
3 Nd 0.2020 0.5000 0.5828 (multiplicity 4)
4 Zn 0.0000 0.0000 0.5000 (multiplicity 2)
5 Zn 0.0596 0.0000 0.3253 (multiplicity 4)
6 Zn 0.2144 0.5000 0.1601 (multiplicity 4)
7 Ru 0.1050 0.5000 0.2580 (multiplicity 4)

***

Record 8
This record from Alexandria via LeMat-Bulk describes Nd3Zn3Ru2 after structural relaxation. The functional is GGA-PBE.

Electronic total energy = -155.22 eV per cell
Formation enthalpy at 0 K = -2.13 eV per formula unit
Fermi-level density of states = 24.401 states/eV per cell

Lattice parameters (Å, degrees): 4.0473 10.5560 16.4758 90.00 90.00 90.00
Space group Cmcm (No. 63)
Symmetry-distinct sites (fractional):
1 Nd 0.0000 0.0618 0.1049 (multiplicity 8)
2 Nd 0.0000 0.3375 0.2500 (multiplicity 4)
3 Zn 0.0000 0.3387 0.0306 (multiplicity 8)
4 Zn 0.0000 0.3707 0.7500 (multiplicity 4)
5 Ru 0.0000 0.2307 0.6192 (multiplicity 8)

***

Record 9
This record from Alexandria via LeMat-Bulk describes Nd6ZnRu2 after structural relaxation. The functional is GGA-PBE.

Electronic total energy = -201.28 eV per cell
Formation enthalpy at 0 K = -1.89 eV per formula unit
Excess energy over the best structure of this formula in the dataset = 0.0 meV/atom
Fermi-level density of states = 32.133 states/eV per cell

Lattice parameters (Å, degrees): 9.6326 9.7991 10.5894 90.00 90.00 90.00
Space group Immm (No. 71)
Symmetry-distinct sites (fractional):
1 Nd 0.0000 0.1950 0.2396 (multiplicity 8)
2 Nd 0.1863 0.5000 0.1727 (multiplicity 8)
3 Nd 0.2207 0.3202 0.5000 (multiplicity 8)
4 Zn 0.0000 0.0000 0.0000 (multiplicity 2)
5 Zn 0.0000 0.0000 0.5000 (multiplicity 2)
6 Ru 0.0000 0.3196 0.0000 (multiplicity 4)
7 Ru 0.0000 0.5000 0.3754 (multiplicity 4)

***

Record 10
This record from Alexandria via LeMat-Bulk describes Nd6Zn2Ru after structural relaxation. The functional is GGA-PBE.

Electronic total energy = -83.69 eV per cell
Formation enthalpy at 0 K = -1.42 eV per formula unit
Fermi-level density of states = 19.602 states/eV per cell

Lattice parameters (Å, degrees): 6.2962 9.4003 10.1469 90.00 120.62 90.00
Space group P2_1/c (No. 14)
Symmetry-distinct sites (fractional):
1 Nd 0.0633 0.1882 0.4792 (multiplicity 4)
2 Nd 0.3616 0.6697 0.4534 (multiplicity 4)
3 Nd 0.3941 0.0277 0.2846 (multiplicity 4)
4 Zn 0.1075 0.0948 0.7709 (multiplicity 4)
5 Ru 0.0000 0.0000 0.0000 (multiplicity 2)

***

Record 11
This record from Alexandria via LeMat-Bulk describes Nd3Zn9Ru2 after structural relaxation. The functional is GGA-PBE.

Electronic total energy = -96.47 eV per cell
Formation enthalpy at 0 K = -3.91 eV per formula unit
Fermi-level density of states = 21.740 states/eV per cell

Lattice parameters (Å, degrees): 4.3972 9.3611 12.6856 90.00 90.00 90.00
Space group Immm (No. 71)
Symmetry-distinct sites (fractional):
1 Nd 0.0000 0.0000 0.0000 (multiplicity 2)
2 Nd 0.0000 0.0000 0.3059 (multiplicity 4)
3 Zn 0.0000 0.2801 0.1223 (multiplicity 8)
4 Zn 0.0000 0.3568 0.3423 (multiplicity 8)
5 Zn 0.0000 0.5000 0.0000 (multiplicity 2)
6 Ru 0.0000 0.1786 0.5000 (multiplicity 4)

***

Record 12
This record from Alexandria via LeMat-Bulk describes NdZnRu after structural relaxation. The functional is GGA-PBE.

Electronic total energy = -64.14 eV per cell
Formation enthalpy at 0 K = -0.72 eV per formula unit
Fermi-level density of states = 7.352 states/eV per cell

Lattice parameters (Å, degrees): 7.1259 4.1465 8.1548 90.00 90.00 90.00
Space group Pnma (No. 62)
Symmetry-distinct sites (fractional):
1 Nd 0.0242 0.2500 0.1857 (multiplicity 4)
2 Zn 0.1468 0.2500 0.5641 (multiplicity 4)
3 Ru 0.2285 0.7500 0.3771 (multiplicity 4)

***

Record 13
This record from Alexandria via LeMat-Bulk describes Nd2Zn5Ru5 after structural relaxation. The functional is GGA-PBE.

Electronic total energy = -64.19 eV per cell
Formation enthalpy at 0 K = -1.91 eV per formula unit
Fermi-level density of states = 9.518 states/eV per cell

Lattice parameters (Å, degrees): 4.2287 5.2244 9.4262 90.00 90.00 90.00
Space group Pmmm (No. 47)
Symmetry-distinct sites (fractional):
1 Nd 0.0000 0.0000 0.0000 (multiplicity 1)
2 Nd 0.0000 0.5000 0.5000 (multiplicity 1)
3 Zn 0.0000 0.0000 0.3290 (multiplicity 2)
4 Zn 0.0000 0.5000 0.1670 (multiplicity 2)
5 Zn 0.5000 0.0000 0.5000 (multiplicity 1)
6 Ru 0.5000 0.2451 0.2497 (multiplicity 4)
7 Ru 0.5000 0.5000 0.0000 (multiplicity 1)

***

Record 14
This record from Alexandria via LeMat-Bulk describes NdZn3Ru after structural relaxation. The functional is GGA-PBE.

Electronic total energy = -74.15 eV per cell
Formation enthalpy at 0 K = -0.67 eV per formula unit
Excess energy over the best structure of this formula in the dataset = 70.8 meV/atom
Fermi-level density of states = 13.130 states/eV per cell

Lattice parameters (Å, degrees): 5.0055 8.3668 9.2256 90.00 90.00 90.00
Space group Imma (No. 74)
Symmetry-distinct sites (fractional):
1 Nd 0.0000 0.2500 0.0247 (multiplicity 4)
2 Zn 0.0000 0.2500 0.6649 (multiplicity 4)
3 Zn 0.2500 0.0046 0.2500 (multiplicity 8)
4 Ru 0.0000 0.0000 0.5000 (multiplicity 4)

***

Record 15
This record from Alexandria via LeMat-Bulk describes Nd7Zn2Ru2 after structural relaxation. The functional is GGA-PBE.

Electronic total energy = -111.40 eV per cell
Formation enthalpy at 0 K = -1.23 eV per formula unit
Fermi-level density of states = 20.291 states/eV per cell

Lattice parameters (Å, degrees): 7.8065 11.3562 7.2194 90.00 90.00 90.00
Space group Cmmm (No. 65)
Symmetry-distinct sites (fractional):
1 Nd 0.0000 0.0000 0.0000 (multiplicity 2)
2 Nd 0.0000 0.5000 0.2528 (multiplicity 4)
3 Nd 0.2500 0.2500 0.2631 (multiplicity 8)
4 Zn 0.1615 0.0000 0.5000 (multiplicity 4)
5 Ru 0.0000 0.3037 0.0000 (multiplicity 4)

***

Record 16
This record from Alexandria via LeMat-Bulk describes Nd2Zn2Ru after structural relaxation. The functional is GGA-PBE.

Electronic total energy = -91.24 eV per cell
Formation enthalpy at 0 K = -1.45 eV per formula unit
Excess energy over the best structure of this formula in the dataset = 6.5 meV/atom
Fermi-level density of states = 14.223 states/eV per cell

Lattice parameters (Å, degrees): 11.2547 3.9918 11.7658 90.00 117.03 90.00
Space group C2/m (No. 12)
Symmetry-distinct sites (fractional):
1 Nd 0.0746 0.0000 0.3624 (multiplicity 4)
2 Nd 0.2098 0.0000 0.1198 (multiplicity 4)
3 Zn 0.0090 0.5000 0.8845 (multiplicity 4)
4 Zn 0.1211 0.5000 0.5872 (multiplicity 4)
5 Ru 0.2267 0.5000 0.3041 (multiplicity 4)

***

Record 17
This record from Alexandria via LeMat-Bulk describes Nd8ZnRu2 after structural relaxation. The functional is GGA-PBE.

Electronic total energy = -117.41 eV per cell
Formation enthalpy at 0 K = -0.74 eV per formula unit
Fermi-level density of states = 26.895 states/eV per cell

Lattice parameters (Å, degrees): 8.5702 13.2979 6.0971 90.00 107.84 90.00
Space group Cm (No. 8)
Symmetry-distinct sites (fractional):
1 Nd 0.0000 0.0000 0.0000 (multiplicity 2)
2 Nd 0.0899 0.3688 0.7815 (multiplicity 4)
3 Nd 0.1710 0.1297 0.6080 (multiplicity 4)
4 Nd 0.2494 0.5000 0.3878 (multiplicity 2)
5 Nd 0.3806 0.2284 0.2012 (multiplicity 4)
6 Zn 0.3700 0.0000 0.3295 (multiplicity 2)
7 Ru 0.3726 0.3040 0.6806 (multiplicity 4)

***

Record 18
This record from Alexandria via LeMat-Bulk describes Nd8Zn2Ru after structural relaxation. The functional is GGA-PBE.

Electronic total energy = -100.52 eV per cell
Formation enthalpy at 0 K = -0.29 eV per formula unit
Excess energy over the best structure of this formula in the dataset = 104.6 meV/atom
Fermi-level density of states = 20.688 states/eV per cell

Lattice parameters (Å, degrees): 4.9857 8.7288 14.4899 90.00 90.00 90.00
Space group Immm (No. 71)
Symmetry-distinct sites (fractional):
1 Nd 0.0000 0.0000 0.1206 (multiplicity 4)
2 Nd 0.0000 0.2258 0.3429 (multiplicity 8)
3 Nd 0.0000 0.3354 0.0000 (multiplicity 4)
4 Zn 0.0000 0.5000 0.1977 (multiplicity 4)
5 Ru 0.0000 0.5000 0.5000 (multiplicity 2)

***

Record 19
This record from Alexandria via LeMat-Bulk describes Nd5ZnRu2 after structural relaxation. The functional is GGA-PBE.

Electronic total energy = -181.91 eV per cell
Formation enthalpy at 0 K = -1.81 eV per formula unit
Fermi-level density of states = 29.725 states/eV per cell

Lattice parameters (Å, degrees): 7.9505 7.9505 13.5788 90.00 90.00 90.00
Space group I4/mcm (No. 140)
Symmetry-distinct sites (fractional):
1 Nd 0.0000 0.0000 0.0000 (multiplicity 4)
2 Nd 0.1610 0.3390 0.1356 (multiplicity 16)
3 Zn 0.0000 0.0000 0.2500 (multiplicity 4)
4 Ru 0.1402 0.3598 0.5000 (multiplicity 8)

***

Record 20
This record from Alexandria via LeMat-Bulk describes NdZr4Ru5 after structural relaxation. The functional is GGA-PBE.

Electronic total energy = -90.66 eV per cell
Formation enthalpy at 0 K = -5.32 eV per formula unit
Fermi-level density of states = 3.834 states/eV per cell

Lattice parameters (Å, degrees): 3.3035 3.3035 16.8657 90.00 90.00 90.00
Space group P4/mmm (No. 123)
Symmetry-distinct sites (fractional):
1 Nd 0.0000 0.0000 0.0000 (multiplicity 1)
2 Zr 0.0000 0.0000 0.2071 (multiplicity 2)
3 Zr 0.0000 0.0000 0.4025 (multiplicity 2)
4 Ru 0.5000 0.5000 0.1189 (multiplicity 2)
5 Ru 0.5000 0.5000 0.3083 (multiplicity 2)
6 Ru 0.5000 0.5000 0.5000 (multiplicity 1)